{"formula": "Mn2Te", "functional": "PBE", "state": "optimized geometry", "vol_a3_per_atom": 16.7, "formation_energy_uncorrected_ev_per_atom": 0.49, "m_tot_mub_per_cell": 10.8, "cell": [[0.000, 3.684, 3.684], [3.684, 0.000, 3.684], [3.684, 3.684, 0.000]], "species": ["Mn", "Mn", "Mn", "Mn", "Te", "Te"], "fractional_positions": [[0.000, 0.000, 0.000], [0.000, 0.000, 0.500], [0.000, 0.500, 0.000], [0.500, 0.000, 0.000], [0.375, 0.375, 0.375], [0.625, 0.625, 0.625]]}


{"formula": "Mn3Te", "functional": "PBE", "state": "optimized geometry", "vol_a3_per_atom": 17.7, "polymorph_energy_mev_per_atom": 123, "formation_energy_uncorrected_ev_per_atom": 0.38, "m_tot_mub_per_cell": 3.1, "cell": [[2.002, 1.156, 5.091], [-2.002, 1.156, 5.091], [0.000, -2.311, 5.091]], "species": ["Mn", "Mn", "Mn", "Te"], "fractional_positions": [[0.000, 0.000, 0.000], [0.276, 0.276, 0.276], [0.724, 0.724, 0.724], [0.500, 0.500, 0.500]]}


{"formula": "MnTe", "functional": "PBE", "state": "optimized geometry", "vol_a3_per_atom": 39.2, "formation_energy_uncorrected_ev_per_atom": 0.01, "m_tot_mub_per_cell": 30.0, "cell": [[10.873, 0.000, 0.000], [-5.436, 9.416, 0.000], [0.000, 0.000, 4.597]], "species": ["Mn", "Mn", "Mn", "Mn", "Mn", "Mn", "Te", "Te", "Te", "Te", "Te", "Te"], "fractional_positions": [[0.071, 0.421, 0.250], [0.351, 0.929, 0.250], [0.421, 0.351, 0.750], [0.579, 0.649, 0.250], [0.649, 0.071, 0.750], [0.929, 0.579, 0.750], [0.090, 0.688, 0.250], [0.312, 0.402, 0.250], [0.402, 0.090, 0.750], [0.598, 0.910, 0.250], [0.688, 0.598, 0.750], [0.910, 0.312, 0.750]]}


Copy entry 3 word for word.
{"formula": "MnTe", "functional": "PBE", "state": "optimized geometry", "vol_a3_per_atom": 39.2, "formation_energy_uncorrected_ev_per_atom": 0.01, "m_tot_mub_per_cell": 30.0, "cell": [[10.873, 0.000, 0.000], [-5.436, 9.416, 0.000], [0.000, 0.000, 4.597]], "species": ["Mn", "Mn", "Mn", "Mn", "Mn", "Mn", "Te", "Te", "Te", "Te", "Te", "Te"], "fractional_positions": [[0.071, 0.421, 0.250], [0.351, 0.929, 0.250], [0.421, 0.351, 0.750], [0.579, 0.649, 0.250], [0.649, 0.071, 0.750], [0.929, 0.579, 0.750], [0.090, 0.688, 0.250], [0.312, 0.402, 0.250], [0.402, 0.090, 0.750], [0.598, 0.910, 0.250], [0.688, 0.598, 0.750], [0.910, 0.312, 0.750]]}